# 1
# Li2TcCl | the Alexandria database | PBE-GGA | optimized geometry
data_Li2TcCl
_space_group_name_H-M_alt 'C m m m'
_space_group_IT_number 65
_space_group_name_Hall '-C 2 2'
_cell_length_a 4.9522
_cell_length_b 8.6258
_cell_length_c 2.7431
_cell_angle_alpha 90.00
_cell_angle_beta 90.00
_cell_angle_gamma 90.00
loop_
_atom_site_label
_atom_site_type_symbol
_atom_site_fract_x
_atom_site_fract_y
_atom_site_fract_z
Li1 Li 0.2500 0.2500 0.0000
Tc1 Tc 0.0000 0.0000 0.5000
Cl1 Cl 0.0000 0.5000 0.5000
# total magnetic moment	0.001	μB per atom
# DFT total energy	-3.918	eV/atom
# energy above the most stable polymorph in this dataset	348.4	meV/atom
# V	14.65	Å³ per atom

***

# 2
# KBiWI2 | the Alexandria database | PBE-GGA | optimized geometry
data_KBiWI2
_space_group_name_H-M_alt 'P 4/m m m'
_space_group_IT_number 123
_space_group_name_Hall '-P 4 2'
_cell_length_a 6.1463
_cell_length_b 6.1463
_cell_length_c 6.2221
_cell_angle_alpha 90.00
_cell_angle_beta 90.00
_cell_angle_gamma 90.00
loop_
_atom_site_label
_atom_site_type_symbol
_atom_site_fract_x
_atom_site_fract_y
_atom_site_fract_z
K1 K 0.0000 0.0000 0.0000
Bi1 Bi 0.5000 0.5000 0.5000
W1 W 0.0000 0.0000 0.5000
I1 I 0.0000 0.5000 0.0000
# total magnetic moment	0.774	μB per atom
# DFT total energy	-2.691	eV/atom
# V	47.01	Å³ per atom

***

# 3
# CuRh2 | the Alexandria database | PBE-GGA | optimized geometry
data_CuRh2
_space_group_name_H-M_alt 'C 1 m 1'
_space_group_IT_number 8
_cell_length_a 9.8476
_cell_length_b 2.7042
_cell_length_c 6.3817
_cell_angle_alpha 90.00
_cell_angle_beta 104.68
_cell_angle_gamma 90.00
loop_
_space_group_symop_operation_xyz
'x,y,z'
'x,-y,z'
'x+1/2,y+1/2,z'
'x+1/2,-y+1/2,z'
loop_
_atom_site_label
_atom_site_type_symbol
_atom_site_fract_x
_atom_site_fract_y
_atom_site_fract_z
Cu1 Cu 0.0000 0.0000 0.0000
Cu2 Cu 0.1577 0.5000 0.3202
Rh1 Rh 0.0510 0.0000 0.6075
Rh2 Rh 0.2232 0.5000 0.9425
Rh3 Rh 0.3272 0.0000 0.6588
Rh4 Rh 0.3834 0.0000 0.2746
# formation energy	0.07	eV per atom
# total magnetic moment	0.000	μB per atom
# DFT total energy	-6.192	eV/atom
# energy above the most stable polymorph in this dataset	31.2	meV/atom
# V	13.70	Å³ per atom

***

# 4
# SrCa2Mg | the Alexandria database | PBE-GGA | optimized geometry
data_SrCa2Mg
_space_group_name_H-M_alt 'C m m m'
_space_group_IT_number 65
_space_group_name_Hall '-C 2 2'
_cell_length_a 7.6593
_cell_length_b 10.4783
_cell_length_c 3.9799
_cell_angle_alpha 90.00
_cell_angle_beta 90.00
_cell_angle_gamma 90.00
loop_
_atom_site_label
_atom_site_type_symbol
_atom_site_fract_x
_atom_site_fract_y
_atom_site_fract_z
Sr1 Sr 0.0000 0.0000 0.0000
Ca1 Ca 0.2500 0.2500 0.5000
Mg1 Mg 0.0000 0.5000 0.0000
# formation energy	0.08	eV per atom
# total magnetic moment	0.000	μB per atom
# DFT total energy	-1.744	eV/atom
# V	39.93	Å³ per atom

***

# 5
# ZnBi2Se | the Alexandria database | PBE-GGA | optimized geometry
data_ZnBi2Se
_space_group_name_H-M_alt 'F m -3 m'
_space_group_IT_number 225
_space_group_name_Hall '-F 4 2 3'
_cell_length_a 7.4096
_cell_length_b 7.4096
_cell_length_c 7.4096
_cell_angle_alpha 90.00
_cell_angle_beta 90.00
_cell_angle_gamma 90.00
loop_
_atom_site_label
_atom_site_type_symbol
_atom_site_fract_x
_atom_site_fract_y
_atom_site_fract_z
Zn1 Zn 0.0000 0.0000 0.0000
Bi1 Bi 0.2500 0.2500 0.2500
Se1 Se 0.0000 0.0000 0.5000
# total magnetic moment	0.000	μB per atom
# DFT total energy	-2.969	eV/atom
# energy above the most stable polymorph in this dataset	0.0	meV/atom
# V	25.43	Å³ per atom

***

# 6
# Sn2BrCl | the Alexandria database | PBE-GGA | optimized geometry
data_Sn2BrCl
_space_group_name_H-M_alt 'F m -3 m'
_space_group_IT_number 225
_space_group_name_Hall '-F 4 2 3'
_cell_length_a 7.5523
_cell_length_b 7.5523
_cell_length_c 7.5523
_cell_angle_alpha 90.00
_cell_angle_beta 90.00
_cell_angle_gamma 90.00
loop_
_atom_site_label
_atom_site_type_symbol
_atom_site_fract_x
_atom_site_fract_y
_atom_site_fract_z
Sn1 Sn 0.2500 0.2500 0.2500
Br1 Br 0.0000 0.0000 0.0000
Cl1 Cl 0.0000 0.0000 0.5000
# total magnetic moment	0.000	μB per atom
# DFT total energy	-3.055	eV/atom
# energy above the most stable polymorph in this dataset	154.1	meV/atom
# V	26.92	Å³ per atom

***

# 7
# Dy2Ga5Rh | the Alexandria database | PBE-GGA | optimized geometry
data_Dy2Ga5Rh
_space_group_name_H-M_alt 'I 4 m m'
_space_group_IT_number 107
_space_group_name_Hall 'I 4 -2'
_cell_length_a 6.1724
_cell_length_b 6.1724
_cell_length_c 8.2503
_cell_angle_alpha 90.00
_cell_angle_beta 90.00
_cell_angle_gamma 90.00
loop_
_atom_site_label
_atom_site_type_symbol
_atom_site_fract_x
_atom_site_fract_y
_atom_site_fract_z
Dy1 Dy 0.0000 0.5000 0.0000
Ga1 Ga 0.0000 0.0000 0.0072
Ga2 Ga 0.2140 0.2140 0.7524
Rh1 Rh 0.0000 0.0000 0.3088
# formation energy	-0.53	eV per atom
# total magnetic moment	0.000	μB per atom
# DFT total energy	-4.495	eV/atom
# V	19.65	Å³ per atom

***

# 8
# LiTbCoC | the Alexandria database | PBE-GGA | optimized geometry
data_LiTbCoC
_space_group_name_H-M_alt 'P 4/n m m'
_space_group_IT_number 129
_cell_length_a 3.3782
_cell_length_b 3.3782
_cell_length_c 10.7712
_cell_angle_alpha 90.00
_cell_angle_beta 90.00
_cell_angle_gamma 90.00
loop_
_space_group_symop_operation_xyz
'x,y,z'
'-x,-y,-z'
'-y+1/2,x,z'
'y+1/2,-x,-z'
'-x+1/2,-y+1/2,z'
'x+1/2,y+1/2,-z'
'y,-x+1/2,z'
'-y,x+1/2,-z'
'x+1/2,-y,-z'
'-x+1/2,y,z'
'-y,-x,-z'
'y,x,z'
'-x,y+1/2,-z'
'x,-y+1/2,z'
'y+1/2,x+1/2,-z'
'-y+1/2,-x+1/2,z'
loop_
_atom_site_label
_atom_site_type_symbol
_atom_site_fract_x
_atom_site_fract_y
_atom_site_fract_z
Li1 Li 0.2500 0.7500 0.0000
Tb1 Tb 0.2500 0.2500 0.2836
Co1 Co 0.2500 0.7500 0.5000
C1 C 0.2500 0.2500 0.6013
# formation energy	-0.06	eV per atom
# total magnetic moment	0.000	μB per atom
# DFT total energy	-5.776	eV/atom
# V	15.37	Å³ per atom

***

Please write out number 2 again, unchanged.
# KBiWI2 | the Alexandria database | PBE-GGA | optimized geometry
data_KBiWI2
_space_group_name_H-M_alt 'P 4/m m m'
_space_group_IT_number 123
_space_group_name_Hall '-P 4 2'
_cell_length_a 6.1463
_cell_length_b 6.1463
_cell_length_c 6.2221
_cell_angle_alpha 90.00
_cell_angle_beta 90.00
_cell_angle_gamma 90.00
loop_
_atom_site_label
_atom_site_type_symbol
_atom_site_fract_x
_atom_site_fract_y
_atom_site_fract_z
K1 K 0.0000 0.0000 0.0000
Bi1 Bi 0.5000 0.5000 0.5000
W1 W 0.0000 0.0000 0.5000
I1 I 0.0000 0.5000 0.0000
# total magnetic moment	0.774	μB per atom
# DFT total energy	-2.691	eV/atom
# V	47.01	Å³ per atom

***

Q: Among the records above, which one has the highest total magnetic moment?
A: KBiWI2

***

Q: Which of these has the highest total magnetic moment?
A: KBiWI2